# ScCrMo2

A geometry-optimized ScCrMo2 structure (PBE, Alexandria via LeMat-Bulk).

Lattice parameters (Å, degrees): 10.296 10.296 10.296 158.99 158.99 29.88
Sites, in units of the cell vectors:
Sc (0.000, 0.000, 0.000)
Sc (0.750, 0.250, 0.500)
Cr (0.250, 0.750, 0.500)
Cr (0.500, 0.500, 0.000)
Mo (0.129, 0.125, 0.504)
Mo (0.375, 0.871, 0.996)
Mo (0.621, 0.625, 0.496)
Mo (0.875, 0.379, 0.004)

Output
DOS at the Fermi energy, states/eV/f.u.: 5.0
Space group: I-42d, No. 122
ΔE to the lowest computed polymorph, kcal/mol of atoms: 14.47
M_tot, μB/f.u.: 2.6
Energy relative to the elements, eV per atom: 0.752


# Ni2AsS

A geometry-optimized Ni2AsS structure (PBE, Alexandria via LeMat-Bulk).

Lattice parameters (Å, degrees): 6.304 6.304 6.304 30.37 30.37 30.37
Sites, in units of the cell vectors:
Ni (0.000, 0.000, 0.000)
Ni (0.141, 0.141, 0.141)
As (0.575, 0.575, 0.575)
S (0.403, 0.403, 0.403)

Output
DOS at the Fermi energy, states/eV/f.u.: 3.2
Space group: R3m, No. 160
ΔE to the lowest computed polymorph, kcal/mol of atoms: 2.65
M_tot, μB/f.u.: 0.0
Formation energy from raw total energies, kJ/mol of atoms: -9.3


# LiPr2Cd2

A geometry-optimized LiPr2Cd2 structure (PBE, Alexandria via LeMat-Bulk).

Lattice parameters (Å, degrees): 8.077 8.077 8.077 127.63 69.99 137.02
Sites, in units of the cell vectors:
Li (0.250, 0.250, 0.000)
Li (0.750, 0.750, 0.000)
Pr (0.183, 0.711, 0.894)
Pr (0.317, 0.211, 0.529)
Pr (0.683, 0.789, 0.471)
Pr (0.817, 0.289, 0.106)
Cd (0.070, 0.304, 0.374)
Cd (0.430, 0.804, 0.233)
Cd (0.570, 0.196, 0.767)
Cd (0.930, 0.696, 0.626)

Output
DOS at the Fermi energy, states/eV/f.u.: 4.0
Space group: Ibam, No. 72
ΔE to the lowest computed polymorph, kcal/mol of atoms: 1.78
M_tot, μB/f.u.: 0.0
Energy relative to the elements, eV per atom: -0.118


# PmSm2YTm5

A geometry-optimized PmSm2YTm5 structure (PBE, Alexandria via LeMat-Bulk).

Lattice parameters (Å, degrees): 9.771 9.771 9.771 127.10 127.10 78.08
Sites, in units of the cell vectors:
Pm (0.250, 0.250, 0.000)
Pm (0.750, 0.750, 0.000)
Sm (0.116, 0.616, 0.731)
Sm (0.384, 0.116, 0.500)
Sm (0.616, 0.884, 0.500)
Sm (0.884, 0.384, 0.269)
Y (0.250, 0.750, 0.500)
Y (0.750, 0.250, 0.500)
Tm (0.000, 0.000, 0.000)
Tm (0.073, 0.154, 0.500)
Tm (0.154, 0.654, 0.080)
Tm (0.346, 0.427, 0.500)
Tm (0.427, 0.927, 0.080)
Tm (0.500, 0.500, 0.000)
Tm (0.573, 0.073, 0.920)
Tm (0.654, 0.573, 0.500)
Tm (0.846, 0.346, 0.920)
Tm (0.927, 0.846, 0.500)

Output
DOS at the Fermi energy, states/eV/f.u.: 10.3
Space group: I4/mcm, No. 140
M_tot, μB/f.u.: 0.0
Energy relative to the elements, eV per atom: 0.270


# Ac6Sb2Te3Pb

A geometry-optimized Ac6Sb2Te3Pb structure (PBE, Alexandria via LeMat-Bulk).

Lattice parameters (Å, degrees): 10.708 10.708 9.556 102.65 102.65 25.94
Sites, in units of the cell vectors:
Ac (0.002, 0.002, 0.244)
Ac (0.331, 0.331, 0.422)
Ac (0.336, 0.336, 0.912)
Ac (0.664, 0.664, 0.088)
Ac (0.669, 0.669, 0.578)
Ac (0.998, 0.998, 0.756)
Sb (0.167, 0.167, 0.334)
Sb (0.833, 0.833, 0.666)
Te (0.167, 0.167, 0.832)
Te (0.500, 0.500, 0.500)
Te (0.833, 0.833, 0.168)
Pb (0.500, 0.500, 0.000)

Output
DOS at the Fermi energy, states/eV/f.u.: 4.4
Space group: C2/m, No. 12
M_tot, μB/f.u.: 0.0
Formation energy from raw total energies, kJ/mol of atoms: -124.8


# KCu2Mo

A geometry-optimized KCu2Mo structure (PBE, Alexandria via LeMat-Bulk).

Lattice parameters (Å, degrees): 10.244 10.244 10.244 15.78 15.78 15.78
Sites, in units of the cell vectors:
K (0.000, 0.000, 0.000)
Cu (0.239, 0.239, 0.239)
Cu (0.761, 0.761, 0.761)
Mo (0.500, 0.500, 0.500)

Output
DOS at the Fermi energy, states/eV/f.u.: 5.1
Space group: R-3m, No. 166
ΔE to the lowest computed polymorph, kcal/mol of atoms: 5.07
M_tot, μB/f.u.: 0.0
Energy relative to the elements, eV per atom: 0.793